TcIr3Rh3, optimized geometry, DFT PBE-GGA; theoretical density = 11.1 g cm⁻³; energy relative to the elements = 653 meV per atom; calculated total energy = -108.864 eV per cell; total magnetization = 0.000 Bohr magnetons per cell; DOS at the Fermi energy = 1.3956 states/eV/atom; energy above the most stable polymorph in this dataset = 282 meV/atom
1.0
-0.598 2.456 0.782
-8.598 -4.055 6.168
10.294 1.035 4.621
Tc Ir Rh
2 6 6
direct
0.250 0.667 0.333
0.750 0.333 0.667
0.750 0.146 0.720
0.250 0.720 0.574
0.250 0.854 0.280
0.750 0.280 0.426
0.750 0.574 0.854
0.250 0.426 0.146
0.750 0.072 0.448
0.250 0.448 0.376
0.250 0.928 0.552
0.750 0.376 0.928
0.250 0.624 0.072
0.750 0.552 0.624

---

Tc2Ir3Rh3, optimized geometry, DFT PBE-GGA; theoretical density = 15.1 g cm⁻³; energy relative to the elements = 91 meV per atom; calculated total energy = -68.643 eV per cell; total magnetization = 0.000 Bohr magnetons per cell; DOS at the Fermi energy = 1.2003 states/eV/atom; energy above the most stable polymorph in this dataset = 167 meV/atom
1.0
4.929 -0.202 0.197
-0.197 4.929 0.197
0.203 0.202 4.929
Rh Tc Ir
3 2 3
direct
0.725 0.000 0.725
0.275 0.725 0.000
0.000 0.275 0.275
0.278 0.278 0.722
0.722 0.722 0.278
0.500 0.202 0.202
0.202 0.798 0.500
0.798 0.500 0.798

---

TcIr2Rh8, optimized geometry, DFT PBE-GGA; theoretical density = 11.8 g cm⁻³; energy relative to the elements = 532 meV per atom; calculated total energy = -81.050 eV per cell; total magnetization = 0.000 Bohr magnetons per cell; DOS at the Fermi energy = 1.6614 states/eV/atom; energy above the most stable polymorph in this dataset = 319 meV/atom
1.0
4.535 0.197 0.169
0.910 6.422 -0.175
0.910 0.823 6.371
Rh Ir Tc
8 2 1
direct
0.705 0.580 0.580
0.875 0.269 0.269
0.125 0.731 0.731
0.786 0.671 0.176
0.295 0.420 0.420
0.214 0.824 0.329
0.214 0.329 0.824
0.786 0.176 0.671
0.443 0.147 0.147
0.557 0.853 0.853
0.000 0.000 0.000